No. 1
PbC: relaxed, GGA-PBE.

Properties
The energy of formation comes out at 1.82 eV/f.u. As for the energy: -5.557 eV per atom. For the relative energy among the computed polymorphs, the calculation gives 57 meV/atom. As for the crystal system: orthorhombic.

Cell lengths 2.7341, 3.4377, 9.4973 Å; angles 90.00, 90.00, 90.00 degrees
Space group Pmma (No. 51)
Inequivalent atoms, fractional coordinates:
Pb1 0.2500 0.0000 0.1658
C1 0.2500 0.5000 0.4984



No. 2
Ac2B2N5: relaxed, GGA-PBE.

Properties
The calculation puts the uncorrected formation energy at -64 kJ per mole of atoms. As for the energy: -7.685 eV per atom. As for the crystal system: monoclinic.

Cell lengths 10.9295, 3.6816, 5.9523 Å; angles 90.00, 91.26, 90.00 degrees
Space group C2/m (No. 12)
Inequivalent atoms, fractional coordinates:
Ac1 0.1230 0.0000 0.1874
B1 0.1126 0.5000 0.6377
N1 0.0000 0.5000 0.5000
N2 0.1259 0.5000 0.8758
N3 0.2248 0.5000 0.4836



No. 3
CsNb2Pb: relaxed, GGA-PBE.

Properties
The energy of formation comes out at 6.89 eV/f.u. As for the energy: -4.453 eV per atom. As for the crystal system: tetragonal.

Cell lengths 8.5183, 8.5183, 6.2783 Å; angles 90.00, 90.00, 90.00 degrees
Space group I-42d (No. 122)
Inequivalent atoms, fractional coordinates:
Cs1 0.0000 0.0000 0.0000
Nb1 0.2088 0.2500 0.6250
Pb1 0.0000 0.0000 0.5000